# 1
Entry from Alexandria: an optimized crystal structure of KMgN2O (GGA-PBE).

CIF file:
```
data_KMgN2O
_chemical_formula_sum 'K1 Mg1 N2 O1'
_space_group_name_H-M_alt 'P 1'
_space_group_IT_number 1
_cell_length_a 4.415
_cell_length_b 4.415
_cell_length_c 4.031
_cell_angle_alpha 90.00
_cell_angle_beta 90.00
_cell_angle_gamma 90.00
loop_
_space_group_symop_operation_xyz
'x,y,z'
loop_
_atom_site_label
_atom_site_type_symbol
_atom_site_fract_x
_atom_site_fract_y
_atom_site_fract_z
K1 K 0.000 0.000 0.000
Mg1 Mg 0.500 0.500 0.500
N1 N 0.000 0.500 0.500
N2 N 0.500 0.000 0.500
O1 O 0.500 0.500 0.000
```

Properties
- Space-group type: P4/mmm, No. 123
- E_tot: -4.313 eV/atom
- Spin magnetization: 5.00 μB per formula unit
- Formation energy without anion corrections: 0.547 eV per atom

# 2
Entry from Alexandria: an optimized crystal structure of KMgNO2 (GGA-PBE).

CIF file:
```
data_KMgNO2
_chemical_formula_sum 'K1 Mg1 N1 O2'
_space_group_name_H-M_alt 'P 1'
_space_group_IT_number 1
_cell_length_a 4.581
_cell_length_b 4.581
_cell_length_c 4.649
_cell_angle_alpha 90.00
_cell_angle_beta 90.00
_cell_angle_gamma 90.00
loop_
_space_group_symop_operation_xyz
'x,y,z'
loop_
_atom_site_label
_atom_site_type_symbol
_atom_site_fract_x
_atom_site_fract_y
_atom_site_fract_z
K1 K 0.000 0.000 0.000
Mg1 Mg 0.500 0.500 0.500
N1 N 0.000 0.000 0.500
O1 O 0.000 0.500 0.000
O2 O 0.500 0.000 0.000
```

Properties
- Space-group type: P4/mmm, No. 123
- E_tot: -3.047 eV/atom
- Spin magnetization: 4.01 μB per formula unit
- Formation energy without anion corrections: 1.140 eV per atom

# 3
Entry from Alexandria: an optimized crystal structure of KMgNO2 (GGA-PBE).

CIF file:
```
data_KMgNO2
_chemical_formula_sum 'K1 Mg1 N1 O2'
_space_group_name_H-M_alt 'P 1'
_space_group_IT_number 1
_cell_length_a 4.088
_cell_length_b 4.088
_cell_length_c 4.430
_cell_angle_alpha 90.00
_cell_angle_beta 90.00
_cell_angle_gamma 90.00
loop_
_space_group_symop_operation_xyz
'x,y,z'
loop_
_atom_site_label
_atom_site_type_symbol
_atom_site_fract_x
_atom_site_fract_y
_atom_site_fract_z
K1 K 0.000 0.000 0.000
Mg1 Mg 0.500 0.500 0.500
N1 N 0.500 0.500 0.000
O1 O 0.000 0.500 0.500
O2 O 0.500 0.000 0.500
```

Properties
- Space-group type: P4/mmm, No. 123
- E_tot: -4.466 eV/atom
- Spin magnetization: 4.00 μB per formula unit
- Formation energy without anion corrections: -0.279 eV per atom

# 4
Entry from Alexandria: an optimized crystal structure of KMgPaN3 (GGA-PBE).

CIF file:
```
data_KMgPaN3
_chemical_formula_sum 'K2 Mg2 Pa2 N6'
_space_group_name_H-M_alt 'P 1'
_space_group_IT_number 1
_cell_length_a 6.982
_cell_length_b 3.685
_cell_length_c 9.296
_cell_angle_alpha 90.00
_cell_angle_beta 95.43
_cell_angle_gamma 90.00
loop_
_space_group_symop_operation_xyz
'x,y,z'
loop_
_atom_site_label
_atom_site_type_symbol
_atom_site_fract_x
_atom_site_fract_y
_atom_site_fract_z
K1 K 0.108 0.250 0.268
K2 K 0.892 0.750 0.732
Mg1 Mg 0.406 0.250 0.908
Mg2 Mg 0.594 0.750 0.092
Pa1 Pa 0.392 0.750 0.641
Pa2 Pa 0.608 0.250 0.359
N1 N 0.231 0.250 0.707
N2 N 0.403 0.750 0.409
N3 N 0.474 0.250 0.134
N4 N 0.526 0.750 0.866
N5 N 0.597 0.250 0.591
N6 N 0.769 0.750 0.293
```

Properties
- Space-group type: P2_1/m, No. 11
- E_tot: -6.940 eV/atom
- Spin magnetization: 0.00 μB per formula unit
- Formation energy without anion corrections: -0.746 eV per atom

# 5
Entry from Alexandria: an optimized crystal structure of KRbMgN2 (GGA-PBE).

CIF file:
```
data_KRbMgN2
_chemical_formula_sum 'K1 Rb1 Mg1 N2'
_space_group_name_H-M_alt 'P 1'
_space_group_IT_number 1
_cell_length_a 5.277
_cell_length_b 5.277
_cell_length_c 6.136
_cell_angle_alpha 90.00
_cell_angle_beta 90.00
_cell_angle_gamma 90.00
loop_
_space_group_symop_operation_xyz
'x,y,z'
loop_
_atom_site_label
_atom_site_type_symbol
_atom_site_fract_x
_atom_site_fract_y
_atom_site_fract_z
K1 K 0.000 0.000 0.000
Rb1 Rb 0.000 0.000 0.500
Mg1 Mg 0.500 0.500 0.500
N1 N 0.000 0.500 0.000
N2 N 0.500 0.000 0.000
```

Properties
- Space-group type: P4/mmm, No. 123
- E_tot: -2.314 eV/atom
- Spin magnetization: 4.00 μB per formula unit
- Formation energy without anion corrections: 1.748 eV per atom

# 6
Entry from Alexandria: an optimized crystal structure of KMg2ReN4 (GGA-PBE).

CIF file:
```
data_KMg2ReN4
_chemical_formula_sum 'K2 Mg4 Re2 N8'
_space_group_name_H-M_alt 'P 1'
_space_group_IT_number 1
_cell_length_a 7.578
_cell_length_b 5.687
_cell_length_c 5.606
_cell_angle_alpha 90.00
_cell_angle_beta 90.00
_cell_angle_gamma 90.00
loop_
_space_group_symop_operation_xyz
'x,y,z'
loop_
_atom_site_label
_atom_site_type_symbol
_atom_site_fract_x
_atom_site_fract_y
_atom_site_fract_z
K1 K 0.000 0.184 0.000
K2 K 0.500 0.816 0.500
Mg1 Mg 0.245 0.326 0.509
Mg2 Mg 0.255 0.674 0.009
Mg3 Mg 0.745 0.674 0.009
Mg4 Mg 0.755 0.326 0.509
Re1 Re 0.000 0.797 0.515
Re2 Re 0.500 0.203 0.015
N1 N 0.000 0.123 0.481
N2 N 0.000 0.727 0.835
N3 N 0.192 0.664 0.373
N4 N 0.308 0.336 0.873
N5 N 0.500 0.273 0.335
N6 N 0.500 0.877 0.981
N7 N 0.692 0.336 0.873
N8 N 0.808 0.664 0.373
```

Properties
- Space-group type: Pmn2_1, No. 31
- E_tot: -6.787 eV/atom
- Spin magnetization: 0.00 μB per formula unit
- Formation energy without anion corrections: -0.533 eV per atom

# 7
Entry from Alexandria: an optimized crystal structure of KMgSN2 (GGA-PBE).

CIF file:
```
data_KMgSN2
_chemical_formula_sum 'K1 Mg1 S1 N2'
_space_group_name_H-M_alt 'P 1'
_space_group_IT_number 1
_cell_length_a 4.454
_cell_length_b 4.454
_cell_length_c 5.029
_cell_angle_alpha 90.00
_cell_angle_beta 90.00
_cell_angle_gamma 90.00
loop_
_space_group_symop_operation_xyz
'x,y,z'
loop_
_atom_site_label
_atom_site_type_symbol
_atom_site_fract_x
_atom_site_fract_y
_atom_site_fract_z
K1 K 0.000 0.000 0.000
Mg1 Mg 0.500 0.500 0.500
S1 S 0.500 0.500 0.000
N1 N 0.000 0.500 0.500
N2 N 0.500 0.000 0.500
```

Properties
- Space-group type: P4/mmm, No. 123
- E_tot: -3.895 eV/atom
- Spin magnetization: 5.03 μB per formula unit
- Formation energy without anion corrections: 0.799 eV per atom
- Energy relative to the lowest polymorph listed for this composition: 0.00 eV per formula unit

# 8
Entry from Alexandria: an optimized crystal structure of K2MgSN (GGA-PBE).

CIF file:
```
data_K2MgSN
_chemical_formula_sum 'K2 Mg1 S1 N1'
_space_group_name_H-M_alt 'P 1'
_space_group_IT_number 1
_cell_length_a 5.983
_cell_length_b 5.983
_cell_length_c 4.753
_cell_angle_alpha 90.00
_cell_angle_beta 90.00
_cell_angle_gamma 90.00
loop_
_space_group_symop_operation_xyz
'x,y,z'
loop_
_atom_site_label
_atom_site_type_symbol
_atom_site_fract_x
_atom_site_fract_y
_atom_site_fract_z
K1 K 0.000 0.500 0.000
K2 K 0.500 0.000 0.000
Mg1 Mg 0.000 0.000 0.500
S1 S 0.000 0.000 0.000
N1 N 0.500 0.500 0.500
```

Properties
- Space-group type: P4/mmm, No. 123
- E_tot: -2.927 eV/atom
- Spin magnetization: 1.40 μB per formula unit
- Formation energy without anion corrections: 0.322 eV per atom

# 9
Entry from Alexandria: an optimized crystal structure of KMgSN2 (GGA-PBE).

CIF file:
```
data_KMgSN2
_chemical_formula_sum 'K1 Mg1 S1 N2'
_space_group_name_H-M_alt 'P 1'
_space_group_IT_number 1
_cell_length_a 4.697
_cell_length_b 4.697
_cell_length_c 5.965
_cell_angle_alpha 90.00
_cell_angle_beta 90.00
_cell_angle_gamma 90.00
loop_
_space_group_symop_operation_xyz
'x,y,z'
loop_
_atom_site_label
_atom_site_type_symbol
_atom_site_fract_x
_atom_site_fract_y
_atom_site_fract_z
K1 K 0.000 0.000 0.000
Mg1 Mg 0.500 0.500 0.500
S1 S 0.000 0.000 0.500
N1 N 0.000 0.500 0.000
N2 N 0.500 0.000 0.000
```

Properties
- Space-group type: P4/mmm, No. 123
- E_tot: -2.845 eV/atom
- Spin magnetization: 5.05 μB per formula unit
- Formation energy without anion corrections: 1.849 eV per atom
- Energy relative to the lowest polymorph listed for this composition: 5.25 eV per formula unit

# 10
Entry from Alexandria: an optimized crystal structure of KMg2SiN (GGA-PBE).

CIF file:
```
data_KMg2SiN
_chemical_formula_sum 'K1 Mg2 Si1 N1'
_space_group_name_H-M_alt 'P 1'
_space_group_IT_number 1
_cell_length_a 5.631
_cell_length_b 5.631
_cell_length_c 4.158
_cell_angle_alpha 90.00
_cell_angle_beta 90.00
_cell_angle_gamma 90.00
loop_
_space_group_symop_operation_xyz
'x,y,z'
loop_
_atom_site_label
_atom_site_type_symbol
_atom_site_fract_x
_atom_site_fract_y
_atom_site_fract_z
K1 K 0.000 0.000 0.000
Mg1 Mg 0.000 0.500 0.000
Mg2 Mg 0.500 0.000 0.000
Si1 Si 0.500 0.500 0.500
N1 N 0.000 0.000 0.500
```

Properties
- Space-group type: P4/mmm, No. 123
- E_tot: -1.814 eV/atom
- Spin magnetization: 0.75 μB per formula unit
- Formation energy without anion corrections: 1.793 eV per atom

# 11
Entry from Alexandria: an optimized crystal structure of KMgTaN2 (GGA-PBE).

CIF file:
```
data_KMgTaN2
_chemical_formula_sum 'K1 Mg1 Ta1 N2'
_space_group_name_H-M_alt 'P 1'
_space_group_IT_number 1
_cell_length_a 4.411
_cell_length_b 4.411
_cell_length_c 4.348
_cell_angle_alpha 90.00
_cell_angle_beta 90.00
_cell_angle_gamma 90.00
loop_
_space_group_symop_operation_xyz
'x,y,z'
loop_
_atom_site_label
_atom_site_type_symbol
_atom_site_fract_x
_atom_site_fract_y
_atom_site_fract_z
K1 K 0.000 0.000 0.000
Mg1 Mg 0.000 0.000 0.500
Ta1 Ta 0.500 0.500 0.500
N1 N 0.000 0.500 0.000
N2 N 0.500 0.000 0.000
```

Properties
- Space-group type: P4/mmm, No. 123
- E_tot: -3.496 eV/atom
- Spin magnetization: 0.26 μB per formula unit
- Formation energy without anion corrections: 2.743 eV per atom

# 12
Entry from Alexandria: an optimized crystal structure of KMgTa2N (GGA-PBE).

CIF file:
```
data_KMgTa2N
_chemical_formula_sum 'K1 Mg1 Ta2 N1'
_space_group_name_H-M_alt 'P 1'
_space_group_IT_number 1
_cell_length_a 4.723
_cell_length_b 4.723
_cell_length_c 4.573
_cell_angle_alpha 90.00
_cell_angle_beta 90.00
_cell_angle_gamma 90.00
loop_
_space_group_symop_operation_xyz
'x,y,z'
loop_
_atom_site_label
_atom_site_type_symbol
_atom_site_fract_x
_atom_site_fract_y
_atom_site_fract_z
K1 K 0.000 0.000 0.000
Mg1 Mg 0.500 0.500 0.500
Ta1 Ta 0.000 0.500 0.000
Ta2 Ta 0.500 0.000 0.000
N1 N 0.000 0.000 0.500
```

Properties
- Space-group type: P4/mmm, No. 123
- E_tot: -3.864 eV/atom
- Spin magnetization: 0.00 μB per formula unit
- Formation energy without anion corrections: 3.081 eV per atom

Q: Among the records above, which one has the lowest E_tot?
A: KMgPaN3